# Al2CdWO8, relaxed, DFT PBE with a Hubbard U
data_Al2CdWO8
_chemical_formula_sum 'Al2 Cd1 W1 O8'
_cell_length_a 4.610
_cell_length_b 4.602
_cell_length_c 6.386
_cell_angle_alpha 90.00
_cell_angle_beta 90.00
_cell_angle_gamma 89.12
_symmetry_space_group_name_H-M 'P 1'
_symmetry_Int_Tables_number 1
loop_
_symmetry_equiv_pos_as_xyz
'x,y,z'
loop_
_atom_site_label
_atom_site_fract_x
_atom_site_fract_y
_atom_site_fract_z
Al1 0.500 0.500 0.782
Al2 0.500 0.500 0.218
Cd1 0.000 0.000 0.500
W1 0.000 0.000 0.000
O1 0.208 0.791 0.218
O2 0.696 0.697 0.000
O3 0.792 0.209 0.218
O4 0.792 0.209 0.782
O5 0.304 0.303 0.000
O6 0.208 0.791 0.782
O7 0.619 0.621 0.500
O8 0.381 0.379 0.500
# DFT total energy (eV per cell): -78.4